VASP calculation (PBE-GGA) on a relaxed structure of Ta4ReRu.

Cell and atoms, written as POSCAR:
```
Ta4ReRu
1.0
3.203 0.000 0.000
0.000 3.203 0.000
0.000 0.000 9.865
Ta Re Ru
4 1 1
direct
0.000 0.000 0.162
0.000 0.000 0.838
0.500 0.500 0.338
0.500 0.500 0.662
0.000 0.000 0.500
0.500 0.500 0.000
```

Values from the calculation:
Calculated volume   101.2 Å³/cell
Total magnetic moment   0.0 μB per cell
Offset from the most stable computed form   0 meV per atom
E_form   -0.339 eV/atom